Entry from the Alexandria database: MnAs2Pb after structural relaxation (PBE-GGA).

Calculated values
Spin magnetization (μB/f.u.): 4.18
E_form (eV/atom): 0.480

a = 6.9959 Å, b = 6.9959 Å, c = 6.9959 Å
α = 90.00°, β = 90.00°, γ = 90.00°
Atoms (fractional coordinates):
Mn 0.0000 0.0000 0.0000
Mn 0.0000 0.5000 0.5000
Mn 0.5000 0.0000 0.5000
Mn 0.5000 0.5000 0.0000
As 0.0000 0.0000 0.5000
As 0.0000 0.5000 0.0000
As 0.2500 0.2500 0.7500
As 0.2500 0.7500 0.2500
As 0.5000 0.0000 0.0000
As 0.5000 0.5000 0.5000
As 0.7500 0.2500 0.2500
As 0.7500 0.7500 0.7500
Pb 0.2500 0.2500 0.2500
Pb 0.2500 0.7500 0.7500
Pb 0.7500 0.2500 0.7500
Pb 0.7500 0.7500 0.2500